No. 1
A plane-wave DFT calculation with PBE was carried out for crystalline NdMg at its relaxed geometry.

Unit cell a=7.2635 b=5.4612 c=9.0030 alpha=90.00 beta=101.76 gamma=90.00
Space group P2_1/m (No. 11)
Symmetry-distinct sites (fractional):
Nd 0.1361 0.2500 0.0438
Nd 0.2038 0.7500 0.3067
Nd 0.3567 0.7500 0.9287
Mg 0.0230 0.7500 0.6155
Mg 0.2999 0.2500 0.6868
Mg 0.4660 0.2500 0.3852

Excess energy over the best structure of this formula in the dataset = 0.079 eV per atom
Total energy = -3.188 eV/atom

=====

No. 2
A plane-wave DFT calculation with PBE was carried out for crystalline SrPrAuS3 at its relaxed geometry.

Unit cell a=4.1001 b=13.4147 c=10.6495 alpha=90.00 beta=90.00 gamma=90.00
Space group Cmcm (No. 63)
Symmetry-distinct sites (fractional):
Sr 0.0000 0.2471 0.2500
Pr 0.0000 0.0000 0.0000
Au 0.0000 0.4710 0.7500
S 0.0000 0.0907 0.7500
S 0.0000 0.3560 0.5648

Excess energy over the best structure of this formula in the dataset = 0.000 eV per atom
Total energy = -5.222 eV/atom

=====

No. 3
A plane-wave DFT calculation with PBE was carried out for crystalline RbPuBi at its relaxed geometry.

Unit cell a=7.8413 b=7.8413 c=7.8413 alpha=90.00 beta=90.00 gamma=90.00
Space group F-43m (No. 216)
Symmetry-distinct sites (fractional):
Rb 0.0000 0.0000 0.0000
Pu 0.2500 0.2500 0.7500
Bi 0.0000 0.0000 0.5000

Total energy = -6.237 eV/atom

=====

No. 4
A plane-wave DFT calculation with PBE was carried out for crystalline Sc4Fe2CN at its relaxed geometry.

Unit cell a=3.1707 b=3.1707 c=13.7239 alpha=90.00 beta=90.00 gamma=120.00
Space group P-3m1 (No. 164)
Symmetry-distinct sites (fractional):
Sc 0.3333 0.6667 0.0934
Sc 0.3333 0.6667 0.4070
Fe 0.3333 0.6667 0.7471
C 0.0000 0.0000 0.0000
N 0.0000 0.0000 0.5000

Total energy = -7.829 eV/atom

=====

No. 5
A plane-wave DFT calculation with PBE was carried out for crystalline Pr3Ni4P4 at its relaxed geometry.

Unit cell a=3.9631 b=4.0607 c=23.1722 alpha=90.00 beta=90.00 gamma=90.00
Space group Immm (No. 71)
Symmetry-distinct sites (fractional):
Pr 0.0000 0.0000 0.0000
Pr 0.0000 0.5000 0.3501
Ni 0.0000 0.0000 0.2494
Ni 0.0000 0.5000 0.0966
P 0.0000 0.0000 0.4479
P 0.0000 0.5000 0.1963

Total energy = -6.372 eV/atom

=====

No. 6
A plane-wave DFT calculation with PBE was carried out for crystalline RbGd2 at its relaxed geometry.

Unit cell a=10.2104 b=10.2104 c=10.2104 alpha=90.00 beta=90.00 gamma=90.00
Space group Fd-3m (No. 227, origin choice 2)
Symmetry-distinct sites (fractional):
Rb 0.1250 0.1250 0.1250
Gd 0.0000 0.0000 0.5000

Total energy = -2.797 eV/atom

=====

No. 7
A plane-wave DFT calculation with PBE was carried out for crystalline PmTlPb2 at its relaxed geometry.

Unit cell a=4.8275 b=4.8275 c=4.9557 alpha=90.00 beta=90.00 gamma=90.00
Space group P4/mmm (No. 123)
Symmetry-distinct sites (fractional):
Pm 0.0000 0.0000 0.0000
Tl 0.5000 0.5000 0.0000
Pb 0.0000 0.5000 0.5000

Total energy = -3.986 eV/atom

=====

No. 8
A plane-wave DFT calculation with PBE was carried out for crystalline Ho2FeCoSi2 at its relaxed geometry.

Unit cell a=3.9678 b=3.9678 c=6.5664 alpha=90.00 beta=90.00 gamma=90.00
Space group P-4m2 (No. 115)
Symmetry-distinct sites (fractional):
Ho 0.0000 0.5000 0.1814
Fe 0.0000 0.0000 0.5000
Co 0.5000 0.5000 0.5000
Si 0.0000 0.5000 0.6857

Total energy = -6.622 eV/atom